1 | 3
Lattice="4.677 0.000 0.000 -2.338 4.050 0.000 0.000 0.000 2.877" Properties=species:S:1:pos:R:3 comment="ZrAgPt | Alexandria via LeMat-Bulk | PBE | relaxed" sg="No. 156" pbc="T T T"
Zr 0.000 0.000 0.000
Ag 2.338 1.350 1.271
Pt 0.000 2.700 1.801

=====

2 | 3
Lattice="0.000 3.204 3.204 3.204 0.000 3.204 3.204 3.204 0.000" Properties=species:S:1:pos:R:3 comment="ZrAgPt | Alexandria via LeMat-Bulk | PBE | relaxed" sg="No. 216" pbc="T T T"
Zr 0.000 0.000 0.000
Ag 4.806 4.806 4.806
Pt 1.602 1.602 1.602

=====

Which of them is the most stable, and which is the least stable? 1 and 2, in that order.